No. 1
Computed, not measured: a PBEsol-optimized structure of Al2GaGe at the meta-GGA SCAN level of DFT.

Properties
E_tot = -0.464 Ha/atom
density of states at the Fermi level = 1.484 states/eV/f.u.
calculated formation energy = 115 meV per atom
symmetry = Fm-3m (225)
calculated volume = 68.9 Å³/cell

a b c (Å): 4.601 4.601 4.601
angles (deg): 60.00 60.00 60.00
Element x y z (fractional)
Ge  0.500  0.500  0.500
Al  0.250  0.250  0.250
Al  0.750  0.750  0.750
Ga  0.000  0.000  0.000

=====

No. 2
Computed, not measured: a PBEsol-optimized structure of Al2GaGe at the meta-GGA SCAN level of DFT.

Properties
E_tot = -0.461 Ha/atom
density of states at the Fermi level = 2.062 states/eV/f.u.
calculated formation energy = 191 meV per atom
symmetry = I-42d (122)
calculated volume = 146.0 Å³/cell

a b c (Å): 5.518 5.837 5.837
angles (deg): 77.09 61.79 61.79
Element x y z (fractional)
Ge  0.750  0.500  0.500
Ge  0.000  0.000  0.000
Al  0.107  0.018  0.518
Al  0.643  0.982  0.482
Al  0.375  0.518  0.982
Al  0.875  0.482  0.018
Ga  0.250  0.500  0.500
Ga  0.500  0.000  0.000